Entry 1:
Entry from Alexandria: an optimized crystal structure of Ce7AsCl12 (PBE).

Structure (extended XYZ):
```
20
Lattice="8.714 -0.263 -2.705 -3.599 7.940 -2.705 -0.175 -0.263 9.123" Properties=species:S:1:pos:R:3 pbc="T T T"
Ce 2.541 0.918 -0.875
Ce 2.470 3.707 1.856
Ce -0.878 2.698 0.117
Ce 2.399 6.497 4.588
Ce 4.041 7.185 1.029
Ce 0.899 0.229 2.684
Ce 5.817 4.716 3.596
Cl 3.511 1.043 1.824
Cl 1.520 0.373 5.524
Cl 5.028 4.495 0.848
Cl 6.802 1.984 3.789
Cl -1.862 5.431 -0.076
Cl -0.299 5.868 5.480
Cl 1.643 3.642 -0.881
Cl 3.420 7.041 -1.811
Cl -0.088 2.919 2.865
Cl 1.429 6.371 1.889
Cl 5.239 1.546 -1.767
Cl 3.297 3.773 4.594
As 0.000 0.000 0.000
```

Properties
symmetry: No. 148
uncorrected energy: -106.710 eV/f.u.
magnetic moment: 8.7 μB/f.u.

=====

Entry 2:
Entry from Alexandria: an optimized crystal structure of Ce2AsCl (PBE).

Structure (extended XYZ):
```
4
Lattice="3.619 0.000 0.000 0.000 3.619 0.000 0.000 0.000 7.279" Properties=species:S:1:pos:R:3 pbc="T T T"
As 1.809 1.809 3.639
Ce 0.000 0.000 5.328
Ce 0.000 0.000 1.951
Cl 1.809 1.809 0.000
```

Properties
symmetry: No. 123
uncorrected energy: -23.254 eV/f.u.
magnetic moment: 3.2 μB/f.u.

=====

Entry 3:
Entry from Alexandria: an optimized crystal structure of Cs2CeAsS3Cl2 (PBE).

Structure (extended XYZ):
```
36
Lattice="6.710 0.000 0.000 0.000 9.520 0.000 0.000 0.000 18.088" Properties=species:S:1:pos:R:3 pbc="T T T"
Cl 1.678 3.414 10.906
Cl 5.033 6.105 7.182
Cl 5.033 8.174 16.226
Cl 5.033 9.222 5.153
Cl 1.678 4.462 3.891
Cl 1.678 0.298 12.935
Cl 1.678 1.345 1.862
Cl 5.033 5.057 14.197
S 1.678 8.552 7.415
S 3.383 2.926 16.985
S 3.328 6.593 1.103
S 6.683 1.834 7.941
S 1.678 5.727 16.459
S 0.027 7.686 10.147
S 6.683 2.926 16.985
S 3.383 1.834 7.941
S 5.033 0.967 10.673
S 5.033 3.793 1.629
S 3.328 7.686 10.147
S 0.027 6.593 1.103
Cs 5.033 4.396 10.359
Cs 1.678 7.961 3.968
Cs 5.033 0.364 1.315
Cs 5.033 1.559 14.119
Cs 1.678 5.124 7.728
Cs 1.678 6.319 13.012
Cs 1.678 9.156 16.772
Cs 5.033 3.201 5.075
Ce 1.678 4.118 1.018
Ce 5.033 5.401 17.069
Ce 1.678 0.642 10.062
Ce 5.033 8.878 8.025
As 5.033 5.899 2.429
As 5.033 8.380 11.473
As 1.678 1.139 6.614
As 1.678 3.621 15.658
```

Properties
symmetry: No. 62
uncorrected energy: -41.470 eV/f.u.
magnetic moment: 1.0 μB/f.u.

=====

Entry 4:
Entry from Alexandria: an optimized crystal structure of Ce3AsIrCl (PBE).

Structure (extended XYZ):
```
12
Lattice="3.948 0.000 0.000 0.000 7.176 0.226 0.000 -2.593 10.784" Properties=species:S:1:pos:R:3 pbc="T T T"
Ce 0.987 3.837 5.611
Ce 0.987 1.081 9.189
Ce 0.987 4.595 9.424
Ce 2.961 -0.012 1.585
Ce 2.961 0.746 5.399
Ce 2.961 3.502 1.821
Ir 0.987 5.358 0.807
Ir 2.961 -0.775 10.203
Cl 0.987 -0.793 6.848
Cl 2.961 5.376 4.161
As 2.961 2.828 7.592
As 0.987 1.755 3.417
```

Properties
symmetry: No. 11
uncorrected energy: -39.869 eV/f.u.
magnetic moment: 3.0 μB/f.u.

=====

Entry 5:
Entry from Alexandria: an optimized crystal structure of LaCeAsCl (PBE).

Structure (extended XYZ):
```
4
Lattice="-0.729 4.923 -1.389 -0.063 1.290 -5.003 -4.431 1.421 -2.246" Properties=species:S:1:pos:R:3 pbc="T T T"
La 0.000 0.000 0.000
Cl -3.917 5.726 -6.478
Ce -2.612 3.817 -4.319
As -1.306 1.909 -2.159
```

Properties
symmetry: No. 216
uncorrected energy: -22.750 eV/f.u.
magnetic moment: 1.9 μB/f.u.

=====

Entry 6:
Entry from Alexandria: an optimized crystal structure of CeAsClO4 (PBE).

Structure (extended XYZ):
```
14
Lattice="-0.551 3.656 -4.987 -5.986 1.327 -0.972 -0.657 6.222 2.721" Properties=species:S:1:pos:R:3 pbc="T T T"
O -2.182 4.659 -0.251
O -3.099 2.011 -0.689
O -3.545 7.128 -0.664
O -4.095 9.193 -2.549
O -3.648 4.077 -2.574
O -1.100 2.868 -2.165
O -5.012 6.546 -2.987
O -6.093 8.337 -1.073
Ce -2.103 6.518 0.934
Ce -5.091 4.687 -4.172
As -2.546 3.484 -1.426
As -4.648 7.720 -1.813
Cl -0.266 1.494 0.507
Cl -6.928 9.710 -3.745
```

Properties
symmetry: No. 12
uncorrected energy: -46.698 eV/f.u.
magnetic moment: 0.0 μB/f.u.

=====

Entry 7:
Entry from Alexandria: an optimized crystal structure of Ce6AsOs2Cl3 (PBE).

Structure (extended XYZ):
```
12
Lattice="-5.816 -2.745 -3.142 6.416 -2.928 -1.220 -1.118 -2.353 6.893" Properties=species:S:1:pos:R:3 pbc="T T T"
As 0.000 0.000 0.000
Os -1.747 -2.805 -2.503
Os 2.347 -2.867 -1.859
Ce 1.735 -6.121 2.419
Ce 0.190 -4.596 -1.651
Ce -2.253 -1.904 0.112
Ce -2.571 -6.057 1.743
Ce 2.053 -1.969 0.788
Ce -0.708 -3.430 4.182
Cl -4.445 -3.950 0.608
Cl -0.259 -4.013 1.265
Cl 3.927 -4.075 1.923
```

Properties
symmetry: No. 12
uncorrected energy: -80.647 eV/f.u.
magnetic moment: 5.2 μB/f.u.

=====

Entry 8:
Entry from Alexandria: an optimized crystal structure of Ce6As3P2Cl (PBE).

Structure (extended XYZ):
```
12
Lattice="4.162 0.000 0.000 0.000 8.291 0.316 -2.081 -2.370 8.731" Properties=species:S:1:pos:R:3 pbc="T T T"
P 0.000 1.968 3.012
P 2.081 3.953 6.036
Ce 2.081 -0.039 2.976
Ce 2.081 3.817 8.911
Ce 0.000 2.104 0.137
Ce 0.000 1.926 5.914
Ce 2.081 3.996 3.134
Ce 0.000 5.960 6.071
Cl 2.081 0.000 0.000
As 2.081 -0.214 5.908
As 0.000 6.135 3.140
As 2.081 4.146 0.158
```

Properties
symmetry: No. 12
uncorrected energy: -80.002 eV/f.u.
magnetic moment: 4.6 μB/f.u.